Entry 1:
Density functional theory data (PBE) for a geometry-optimized NaCa2AgCl6 structure.

Output
As for the energy relative to the elements, uncorrected: -1877.3 meV/atom. Its space-group type is R3. For the spin magnetization, the calculation gives 0.0 Bohr magnetons per cell.

Geometry as CIF:
```
data_NaCa2AgCl6
_chemical_formula_sum 'Na1 Ca2 Ag1 Cl6'
_space_group_name_H-M_alt 'P 1'
_space_group_IT_number 1
_cell_length_a 6.999
_cell_length_b 7.001
_cell_length_c 7.496
_cell_angle_alpha 62.11
_cell_angle_beta 62.15
_cell_angle_gamma 59.96
loop_
_space_group_symop_operation_xyz
'x,y,z'
loop_
_atom_site_label
_atom_site_type_symbol
_atom_site_fract_x
_atom_site_fract_y
_atom_site_fract_z
Na1 Na 0.314 0.314 0.059
Ca1 Ca 0.514 0.513 0.460
Ca2 Ca 0.012 0.012 0.965
Ag1 Ag 0.810 0.810 0.570
Cl1 Cl 0.620 0.231 0.244
Cl2 Cl 0.232 0.905 0.243
Cl3 Cl 0.905 0.620 0.243
Cl4 Cl 0.408 0.731 0.744
Cl5 Cl 0.731 0.117 0.744
Cl6 Cl 0.117 0.408 0.744
```

Entry 2:
Density functional theory data (PBE) for a geometry-optimized AlBr2N structure.

Output
As for the energy relative to the elements, uncorrected: -34.2 meV/atom. Its space-group type is I-42d. The relative energy among the computed polymorphs comes out at 0 meV per atom. For the spin magnetization, the calculation gives 4.0 Bohr magnetons per cell.

Geometry as CIF:
```
data_AlBr2N
_chemical_formula_sum 'Al2 Br4 N2'
_space_group_name_H-M_alt 'P 1'
_space_group_IT_number 1
_cell_length_a 9.742
_cell_length_b 9.742
_cell_length_c 7.141
_cell_angle_alpha 46.99
_cell_angle_beta 46.99
_cell_angle_gamma 90.00
loop_
_space_group_symop_operation_xyz
'x,y,z'
loop_
_atom_site_label
_atom_site_type_symbol
_atom_site_fract_x
_atom_site_fract_y
_atom_site_fract_z
Al1 Al 0.000 0.000 0.000
Al2 Al 0.750 0.250 0.500
Br1 Br 0.791 0.125 0.250
Br2 Br 0.959 0.625 0.250
Br3 Br 0.375 0.209 0.750
Br4 Br 0.875 0.041 0.750
N1 N 0.500 0.500 0.000
N2 N 0.250 0.750 0.500
```

Entry 3:
Density functional theory data (PBE) for a geometry-optimized Na2UHgO6 structure.

Output
As for the energy relative to the elements, uncorrected: -1769.1 meV/atom. Its space-group type is C2/m. For the spin magnetization, the calculation gives 0.0 Bohr magnetons per cell.

Geometry as CIF:
```
data_Na2UHgO6
_chemical_formula_sum 'Na2 U1 Hg1 O6'
_space_group_name_H-M_alt 'P 1'
_space_group_IT_number 1
_cell_length_a 5.345
_cell_length_b 5.810
_cell_length_c 6.417
_cell_angle_alpha 116.92
_cell_angle_beta 116.44
_cell_angle_gamma 90.00
loop_
_space_group_symop_operation_xyz
'x,y,z'
loop_
_atom_site_label
_atom_site_type_symbol
_atom_site_fract_x
_atom_site_fract_y
_atom_site_fract_z
Na1 Na 0.190 0.252 0.504
Na2 Na 0.810 0.748 0.496
U1 U 0.000 0.500 0.000
Hg1 Hg 0.500 0.000 0.000
O1 O 0.321 0.677 0.353
O2 O 0.176 0.160 0.841
O3 O 0.824 0.319 0.159
O4 O 0.176 0.681 0.841
O5 O 0.824 0.840 0.159
O6 O 0.679 0.323 0.647
```

Entry 4:
Density functional theory data (PBE) for a geometry-optimized InPd8Au5 structure.

Output
Its space-group type is I-4. For the energy of formation from the pure elements, the calculation gives -10 meV per atom. For the spin magnetization, the calculation gives 0.0 Bohr magnetons per cell.

Geometry as CIF:
```
data_InPd8Au5
_chemical_formula_sum 'In1 Pd8 Au5'
_space_group_name_H-M_alt 'P 1'
_space_group_IT_number 1
_cell_length_a 6.863
_cell_length_b 6.863
_cell_length_c 6.863
_cell_angle_alpha 110.07
_cell_angle_beta 108.28
_cell_angle_gamma 110.07
loop_
_space_group_symop_operation_xyz
'x,y,z'
loop_
_atom_site_label
_atom_site_type_symbol
_atom_site_fract_x
_atom_site_fract_y
_atom_site_fract_z
In1 In 0.250 0.500 0.750
Pd1 Pd 0.137 0.707 0.062
Pd2 Pd 0.938 0.075 0.644
Pd3 Pd 0.752 0.274 0.351
Pd4 Pd 0.649 0.401 0.923
Pd5 Pd 0.522 0.599 0.248
Pd6 Pd 0.569 0.925 0.863
Pd7 Pd 0.356 0.293 0.431
Pd8 Pd 0.077 0.726 0.478
Au1 Au 0.026 0.319 0.115
Au2 Au 0.885 0.911 0.204
Au3 Au 0.796 0.681 0.707
Au4 Au 0.500 0.000 0.500
Au5 Au 0.293 0.089 0.974
```

Entry 5:
Density functional theory data (PBE) for a geometry-optimized Ca3AgPt structure.

Output
Its space-group type is P2_1/c. For the energy of formation from the pure elements, the calculation gives -564 meV per atom. The relative energy among the computed polymorphs comes out at 0 meV per atom. For the spin magnetization, the calculation gives 0.0 Bohr magnetons per cell.

Geometry as CIF:
```
data_Ca3AgPt
_chemical_formula_sum 'Ca12 Ag4 Pt4'
_space_group_name_H-M_alt 'P 1'
_space_group_IT_number 1
_cell_length_a 7.633
_cell_length_b 8.320
_cell_length_c 9.089
_cell_angle_alpha 105.23
_cell_angle_beta 90.00
_cell_angle_gamma 90.00
loop_
_space_group_symop_operation_xyz
'x,y,z'
loop_
_atom_site_label
_atom_site_type_symbol
_atom_site_fract_x
_atom_site_fract_y
_atom_site_fract_z
Ca1 Ca 0.152 0.593 0.765
Ca2 Ca 0.848 0.407 0.235
Ca3 Ca 0.652 0.907 0.235
Ca4 Ca 0.348 0.093 0.765
Ca5 Ca 0.683 0.459 0.844
Ca6 Ca 0.317 0.541 0.156
Ca7 Ca 0.183 0.041 0.156
Ca8 Ca 0.817 0.959 0.844
Ca9 Ca 0.997 0.211 0.543
Ca10 Ca 0.003 0.789 0.457
Ca11 Ca 0.497 0.289 0.457
Ca12 Ca 0.503 0.711 0.543
Ag1 Ag 0.044 0.311 0.927
Ag2 Ag 0.956 0.689 0.073
Ag3 Ag 0.544 0.189 0.073
Ag4 Ag 0.456 0.811 0.927
Pt1 Pt 0.822 0.530 0.571
Pt2 Pt 0.178 0.470 0.429
Pt3 Pt 0.322 0.970 0.429
Pt4 Pt 0.678 0.030 0.571
```

Entry 6:
Density functional theory data (PBE) for a geometry-optimized Dy2Ga4CuPt3 structure.

Output
Its space-group type is P-4m2. For the energy of formation from the pure elements, the calculation gives -840 meV per atom. For the spin magnetization, the calculation gives 0.0 Bohr magnetons per cell.

Geometry as CIF:
```
data_Dy2Ga4CuPt3
_chemical_formula_sum 'Dy2 Ga4 Cu1 Pt3'
_space_group_name_H-M_alt 'P 1'
_space_group_IT_number 1
_cell_length_a 4.109
_cell_length_b 4.109
_cell_length_c 10.943
_cell_angle_alpha 90.00
_cell_angle_beta 90.00
_cell_angle_gamma 90.00
loop_
_space_group_symop_operation_xyz
'x,y,z'
loop_
_atom_site_label
_atom_site_type_symbol
_atom_site_fract_x
_atom_site_fract_y
_atom_site_fract_z
Dy1 Dy 0.500 0.000 0.250
Dy2 Dy 0.000 0.500 0.750
Ga1 Ga 0.500 0.500 0.000
Ga2 Ga 0.000 0.000 0.000
Ga3 Ga 0.500 0.000 0.630
Ga4 Ga 0.000 0.500 0.370
Cu1 Cu 0.500 0.500 0.500
Pt1 Pt 0.000 0.000 0.500
Pt2 Pt 0.500 0.000 0.858
Pt3 Pt 0.000 0.500 0.142
```

Entry 7:
Density functional theory data (PBE) for a geometry-optimized LaTb2ThAs4 structure.

Output
Its space-group type is P2/m. For the energy of formation from the pure elements, the calculation gives -1529 meV per atom. For the spin magnetization, the calculation gives 0.0 Bohr magnetons per cell.

Geometry as CIF:
```
data_LaTb2ThAs4
_chemical_formula_sum 'La1 Tb2 Th1 As4'
_space_group_name_H-M_alt 'P 1'
_space_group_IT_number 1
_cell_length_a 4.231
_cell_length_b 7.289
_cell_length_c 7.333
_cell_angle_alpha 70.50
_cell_angle_beta 90.00
_cell_angle_gamma 90.00
loop_
_space_group_symop_operation_xyz
'x,y,z'
loop_
_atom_site_label
_atom_site_type_symbol
_atom_site_fract_x
_atom_site_fract_y
_atom_site_fract_z
La1 La 0.000 0.500 0.500
Tb1 Tb 0.000 0.000 0.000
Tb2 Tb 0.500 0.000 0.500
Th1 Th 0.500 0.500 0.000
As1 As 0.000 0.757 0.751
As2 As 0.000 0.243 0.249
As3 As 0.500 0.759 0.243
As4 As 0.500 0.241 0.757
```

Entry 8:
Density functional theory data (PBE) for a geometry-optimized Ga2SI structure.

Output
As for the energy relative to the elements, uncorrected: -177.2 meV/atom. Its space-group type is I-42d. The relative energy among the computed polymorphs comes out at 0 meV per atom. For the spin magnetization, the calculation gives 0.0 Bohr magnetons per cell.

Geometry as CIF:
```
data_Ga2SI
_chemical_formula_sum 'Ga4 S2 I2'
_space_group_name_H-M_alt 'P 1'
_space_group_IT_number 1
_cell_length_a 7.428
_cell_length_b 7.428
_cell_length_c 6.679
_cell_angle_alpha 56.21
_cell_angle_beta 56.21
_cell_angle_gamma 90.00
loop_
_space_group_symop_operation_xyz
'x,y,z'
loop_
_atom_site_label
_atom_site_type_symbol
_atom_site_fract_x
_atom_site_fract_y
_atom_site_fract_z
I1 I 0.000 0.000 0.000
I2 I 0.750 0.250 0.500
S1 S 0.500 0.500 0.000
S2 S 0.250 0.750 0.500
Ga1 Ga 0.567 0.125 0.250
Ga2 Ga 0.183 0.625 0.250
Ga3 Ga 0.375 0.433 0.750
Ga4 Ga 0.875 0.817 0.750
```

Entry 9:
Density functional theory data (PBE) for a geometry-optimized MgBe2B2 structure.

Output
Its space-group type is P4/mbm. For the energy of formation from the pure elements, the calculation gives 511 meV per atom. For the spin magnetization, the calculation gives 0.0 Bohr magnetons per cell.

Geometry as CIF:
```
data_MgBe2B2
_chemical_formula_sum 'Mg2 Be4 B4'
_space_group_name_H-M_alt 'P 1'
_space_group_IT_number 1
_cell_length_a 5.812
_cell_length_b 5.812
_cell_length_c 3.046
_cell_angle_alpha 90.00
_cell_angle_beta 90.00
_cell_angle_gamma 90.00
loop_
_space_group_symop_operation_xyz
'x,y,z'
loop_
_atom_site_label
_atom_site_type_symbol
_atom_site_fract_x
_atom_site_fract_y
_atom_site_fract_z
Be1 Be 0.135 0.635 0.500
Be2 Be 0.635 0.865 0.500
Be3 Be 0.865 0.365 0.500
Be4 Be 0.365 0.135 0.500
Mg1 Mg 0.000 0.000 0.000
Mg2 Mg 0.500 0.500 0.000
B1 B 0.403 0.903 0.000
B2 B 0.903 0.597 0.000
B3 B 0.597 0.097 0.000
B4 B 0.097 0.403 0.000
```

Entry 10:
Density functional theory data (PBE) for a geometry-optimized Tm2MnGa2Co5 structure.

Output
Its space-group type is P4/mbm. For the energy of formation from the pure elements, the calculation gives -153 meV per atom. For the spin magnetization, the calculation gives 12.1 Bohr magnetons per cell.

Geometry as CIF:
```
data_Tm2MnGa2Co5
_chemical_formula_sum 'Tm4 Mn2 Ga4 Co10'
_space_group_name_H-M_alt 'P 1'
_space_group_IT_number 1
_cell_length_a 3.337
_cell_length_b 9.384
_cell_length_c 9.384
_cell_angle_alpha 90.00
_cell_angle_beta 90.00
_cell_angle_gamma 90.00
loop_
_space_group_symop_operation_xyz
'x,y,z'
loop_
_atom_site_label
_atom_site_type_symbol
_atom_site_fract_x
_atom_site_fract_y
_atom_site_fract_z
Tm1 Tm 0.000 0.673 0.173
Tm2 Tm 0.000 0.327 0.827
Tm3 Tm 0.000 0.173 0.327
Tm4 Tm 0.000 0.827 0.673
Mn1 Mn 0.000 0.000 0.000
Mn2 Mn 0.000 0.500 0.500
Ga1 Ga 0.000 0.125 0.625
Ga2 Ga 0.000 0.875 0.375
Ga3 Ga 0.000 0.625 0.875
Ga4 Ga 0.000 0.375 0.125
Co1 Co 0.500 0.197 0.060
Co2 Co 0.500 0.803 0.940
Co3 Co 0.500 0.060 0.803
Co4 Co 0.500 0.697 0.440
Co5 Co 0.500 0.940 0.197
Co6 Co 0.500 0.303 0.560
Co7 Co 0.500 0.560 0.697
Co8 Co 0.500 0.440 0.303
Co9 Co 0.500 0.500 0.000
Co10 Co 0.500 0.000 0.500
```

Entry 11:
Density functional theory data (PBE) for a geometry-optimized AlInSn2As4 structure.

Output
Its space-group type is Fmm2. For the energy of formation from the pure elements, the calculation gives -100 meV per atom. For the spin magnetization, the calculation gives 0.0 Bohr magnetons per cell.

Geometry as CIF:
```
data_AlInSn2As4
_chemical_formula_sum 'Al1 In1 Sn2 As4'
_space_group_name_H-M_alt 'P 1'
_space_group_IT_number 1
_cell_length_a 6.517
_cell_length_b 6.517
_cell_length_c 6.762
_cell_angle_alpha 113.45
_cell_angle_beta 113.45
_cell_angle_gamma 100.04
loop_
_space_group_symop_operation_xyz
'x,y,z'
loop_
_atom_site_label
_atom_site_type_symbol
_atom_site_fract_x
_atom_site_fract_y
_atom_site_fract_z
Al1 Al 0.508 0.508 0.016
In1 In 0.012 0.012 0.023
Sn1 Sn 0.768 0.268 0.535
Sn2 Sn 0.268 0.768 0.535
As1 As 0.602 0.602 0.732
As2 As 0.372 0.841 0.214
As3 As 0.841 0.372 0.214
As4 As 0.131 0.131 0.732
```

Entry 12:
Density functional theory data (PBE) for a geometry-optimized LaTmZn4 structure.

Output
Its space-group type is Immm. For the energy of formation from the pure elements, the calculation gives -342 meV per atom. The relative energy among the computed polymorphs comes out at 0 meV per atom. For the spin magnetization, the calculation gives 0.0 Bohr magnetons per cell.

Geometry as CIF:
```
data_LaTmZn4
_chemical_formula_sum 'La1 Tm1 Zn4'
_space_group_name_H-M_alt 'P 1'
_space_group_IT_number 1
_cell_length_a 4.490
_cell_length_b 5.813
_cell_length_c 5.813
_cell_angle_alpha 78.68
_cell_angle_beta 67.28
_cell_angle_gamma 67.28
loop_
_space_group_symop_operation_xyz
'x,y,z'
loop_
_atom_site_label
_atom_site_type_symbol
_atom_site_fract_x
_atom_site_fract_y
_atom_site_fract_z
La1 La 0.000 0.000 0.000
Tm1 Tm 0.000 0.500 0.500
Zn1 Zn 0.666 0.569 0.099
Zn2 Zn 0.334 0.901 0.431
Zn3 Zn 0.334 0.431 0.901
Zn4 Zn 0.666 0.099 0.569
```